# 1
PBE Bi6RhAu3, relaxed; DFT formation energy = 49 meV/atom; spin magnetization = 0.00 Bohr magnetons per cell; V = 314.16 Å³/f.u.
1.0
6.226 3.595 4.679
-6.226 3.595 4.679
0.000 -7.189 4.679
Bi Rh Au
12 2 6
Cartesian
-1.803 -5.418 5.794
-5.593 -1.148 8.243
-1.803 -1.772 5.904
-3.790 4.270 5.794
-2.436 0.675 8.133
-0.633 2.447 5.904
0.633 -2.447 8.133
2.436 -0.675 5.904
3.790 -4.270 8.243
1.803 1.772 8.133
5.593 1.148 5.794
1.803 5.418 8.243
0.000 0.000 0.000
0.000 0.000 7.019
-4.164 -0.022 5.849
-2.062 -3.617 8.188
2.101 -3.595 5.849
-2.101 3.595 8.188
2.062 3.617 5.849
4.164 0.022 8.188


# 2
PBE TaZnGa2, relaxed; DFT formation energy = 232 meV/atom; spin magnetization = 0.00 Bohr magnetons per cell; V = 66.11 Å³/f.u.
1.0
2.070 1.195 4.454
-2.070 1.195 4.454
0.000 -2.390 4.454
Ta Zn Ga
1 1 2
Cartesian
0.000 0.000 0.000
0.000 0.000 6.681
0.000 0.000 3.110
0.000 0.000 10.253


# 3
PBE Cs4BiTe4, relaxed; spin magnetization = 0.55 Bohr magnetons per cell; V = 620.55 Å³/f.u.; raw formation energy = -0.7275 eV/atom
1.0
-4.513 4.513 7.615
4.513 -4.513 7.615
4.513 4.513 -7.615
Cs Bi Te
4 1 4
Cartesian
4.513 0.000 0.000
0.000 0.000 2.993
0.000 4.513 0.000
0.000 0.000 12.238
0.000 0.000 7.615
2.818 2.818 -1.764
1.695 -1.695 9.379
1.695 1.695 5.852
-1.695 1.695 9.379